# GGA-PBE ScNb2AuN, optimized geometry
# - space-group type = P4/mmm (123)
# - ΔE_f (raw) (eV per atom) = -0.733
# - calculated total energy (eV per atom) = -8.35
data_ScNb2AuN
_cell_length_a 4.234
_cell_length_b 4.234
_cell_length_c 4.489
_cell_angle_alpha 90.00
_cell_angle_beta 90.00
_cell_angle_gamma 90.00
_space_group_name_H-M_alt 'P 1'
_space_group_IT_number 1
_space_group_name_Hall 'P 1'
loop_
_atom_site_label
_atom_site_fract_x
_atom_site_fract_y
_atom_site_fract_z
_atom_site_occupancy
Nb1 0.000 0.500 0.000 1
Nb2 0.500 0.000 0.000 1
N1 0.000 0.000 0.000 1
Sc1 0.000 0.000 0.500 1
Au1 0.500 0.500 0.500 1

=====

# GGA-PBE La2PrSm6Tm3, optimized geometry
# - calculated formation energy (eV/atom) = 0.025
# - space-group type = C2/m (12)
# - calculated total energy (eV per atom) = -4.67
data_La2PrSm6Tm3
_cell_length_a 6.281
_cell_length_b 6.281
_cell_length_c 11.992
_cell_angle_alpha 95.01
_cell_angle_beta 95.01
_cell_angle_gamma 120.03
_space_group_name_H-M_alt 'P 1'
_space_group_IT_number 1
_space_group_name_Hall 'P 1'
loop_
_atom_site_label
_atom_site_fract_x
_atom_site_fract_y
_atom_site_fract_z
_atom_site_occupancy
Sm1 0.420 0.086 0.257 1
Sm2 0.580 0.914 0.743 1
Sm3 0.753 0.753 0.257 1
Sm4 0.914 0.580 0.743 1
Sm5 0.247 0.247 0.743 1
Sm6 0.086 0.420 0.257 1
La1 0.333 0.667 0.000 1
La2 0.667 0.333 0.000 1
Tm1 0.833 0.167 0.500 1
Tm2 0.500 0.500 0.500 1
Tm3 0.167 0.833 0.500 1
Pr1 0.000 0.000 0.000 1

=====

# GGA-PBE NbBiSe2, optimized geometry
# - space-group type = C2/m (12)
# - ΔE_f (raw) (eV per atom) = -0.496
# - calculated total energy (eV per atom) = -5.73
data_NbBiSe2
_cell_length_a 3.437
_cell_length_b 7.403
_cell_length_c 9.524
_cell_angle_alpha 105.41
_cell_angle_beta 90.00
_cell_angle_gamma 103.42
_space_group_name_H-M_alt 'P 1'
_space_group_IT_number 1
_space_group_name_Hall 'P 1'
loop_
_atom_site_label
_atom_site_fract_x
_atom_site_fract_y
_atom_site_fract_z
_atom_site_occupancy
Nb1 0.173 0.346 0.920 1
Nb2 0.827 0.654 0.080 1
Se1 0.407 0.813 0.288 1
Se2 0.593 0.187 0.712 1
Se3 0.346 0.693 0.886 1
Se4 0.654 0.307 0.114 1
Bi1 0.647 0.294 0.443 1
Bi2 0.353 0.706 0.557 1

=====

# GGA-PBE Li3Nd2HoS6, optimized geometry
# - space-group type = C2/m (12)
# - ΔE_f (raw) (eV per atom) = -1.801
# - calculated total energy (eV per atom) = -5.52
data_Li3Nd2HoS6
_cell_length_a 6.949
_cell_length_b 6.949
_cell_length_c 6.612
_cell_angle_alpha 99.93
_cell_angle_beta 99.93
_cell_angle_gamma 120.11
_space_group_name_H-M_alt 'P 1'
_space_group_IT_number 1
_space_group_name_Hall 'P 1'
loop_
_atom_site_label
_atom_site_fract_x
_atom_site_fract_y
_atom_site_fract_z
_atom_site_occupancy
S1 0.916 0.593 0.746 1
S2 0.407 0.084 0.254 1
S3 0.241 0.241 0.747 1
S4 0.593 0.916 0.746 1
S5 0.084 0.407 0.254 1
S6 0.759 0.759 0.253 1
Li1 0.500 0.500 0.500 1
Li2 0.158 0.842 0.500 1
Li3 0.842 0.158 0.500 1
Ho1 0.000 0.000 0.000 1
Nd1 0.333 0.667 0.000 1
Nd2 0.667 0.333 0.000 1